A plane-wave DFT calculation with PBE-GGA was carried out for a relaxed LiPI2O crystal.

Its symmetry is P4/mmm (123). Its energy above the most stable polymorph in this dataset is 81.0 kJ per mole of atoms. The value obtained for the calculated density is 5.0 Mg/m³.

Lattice parameters (Å, degrees): 5.294 5.294 3.624 90.00 90.00 90.00
Positions (direct):
Li 0.000 0.000 0.000
P 0.500 0.500 0.500
I 0.000 0.500 0.000
I 0.500 0.000 0.000
O 0.000 0.000 0.500



A plane-wave DFT calculation with PBE-GGA was carried out for a relaxed Mo2PbAu crystal.

Its symmetry is P4/mmm (123). The formation energy is 283.0 kJ/mol of formula units. The value obtained for the calculated density is 13.3 Mg/m³.

Lattice parameters (Å, degrees): 2.940 2.940 8.581 90.00 90.00 90.00
Positions (direct):
Mo 0.000 0.000 0.232
Mo 0.000 0.000 0.768
Pb 0.500 0.500 0.500
Au 0.500 0.500 0.000



Look up the calculated density of the first one. 5.0 Mg/m³



What is the calculated density in the second record? 13.3 Mg/m³



Which formula does entry 2 have? Mo2PbAu



Look up the calculated density of the first one. 5.0 Mg/m³